An optimized crystal structure of Sm2ScGe. Source: Alexandria, functional PBE-GGA.

Cell: 4.604 4.647 4.647 Å, 90.00 90.00 90.00°
Sites, in units of the cell vectors:
Sc1 0.500 0.000 0.000
Ge1 0.500 0.500 0.500
Sm1 0.000 0.000 0.500
Sm2 0.000 0.500 0.000

Values from the calculation:
- Magnetization: 0.0001 μB per atom
- E: -21.75 eV/cell
- Space group: P4/mmm (123)
- Calculated density: 7.0 g/cm³